Computed, not measured: a relaxed structure of CuNiHgBi at the PBE level of DFT.

Output
Calculated density: 12.10 g/cm3
Energy relative to the lowest polymorph listed for this composition: 0 meV/atom
Space-group type: F-43m, No. 216

a b c (Å): 4.6911 4.6911 4.6911
angles (deg): 60.00 60.00 60.00
Closest atoms and distances in Å follow each position.
Positions (direct):
Bi 0.0000 0.0000 0.0000  4 Ni 2.87, 4 Cu 2.87
Cu 0.7500 0.7500 0.7500  4 Hg 2.87, 4 Bi 2.87
Hg 0.5000 0.5000 0.5000  4 Ni 2.87, 4 Cu 2.87
Ni 0.2500 0.2500 0.2500  4 Hg 2.87, 4 Bi 2.87